# 1
A relaxed structure of NdMgNiIr. Source: Alexandria, functional PBE-GGA.

Lattice parameters (Å, degrees): 6.6912 6.6912 6.6912 90.00 90.00 90.00
Closest atoms and distances in Å follow each position.
Space group F-43m (No. 216)
One atom of each set of equivalent atoms:
Nd  0.0000  0.0000  0.0000 [4 per cell]  4 Ni 2.90, 4 Ir 2.90
Mg  0.0000  0.0000  0.5000 [4 per cell]  4 Ni 2.90, 4 Ir 2.90
Ni  0.2500  0.2500  0.2500 [4 per cell]  4 Mg 2.90, 4 Nd 2.90
Ir  0.2500  0.2500  0.7500 [4 per cell]  4 Mg 2.90, 4 Nd 2.90

## Properties
The value obtained for the calculated formation energy is -0.29 eV per atom. The calculation puts the uncorrected energy at -5.54 eV/atom.

# 2
A relaxed structure of NdMgP2Ir5. Source: Alexandria, functional PBE-GGA.

Lattice parameters (Å, degrees): 4.0585 4.0585 10.1696 90.00 90.00 90.00
Closest atoms and distances in Å follow each position.
Space group P4/mmm (No. 123)
One atom of each set of equivalent atoms:
Nd  0.0000  0.0000  0.0000 [1 per cell]  4 Ir 2.87
Mg  0.0000  0.0000  0.5000 [1 per cell]  8 Ir 2.68
P  0.5000  0.5000  0.2246 [2 per cell]  5 Ir 2.28
Ir  0.0000  0.5000  0.3275 [4 per cell]  2 P 2.28
Ir  0.5000  0.5000  0.0000 [1 per cell]  2 P 2.28

## Properties
The value obtained for the calculated formation energy is -0.40 eV per atom. The calculation puts the uncorrected energy at -7.23 eV/atom.

# 3
A relaxed structure of Nd2MgSi4Ir3. Source: Alexandria, functional PBE-GGA.

Lattice parameters (Å, degrees): 4.2164 4.2164 10.2096 90.00 90.00 90.00
Closest atoms and distances in Å follow each position.
Space group P-4m2 (No. 115)
One atom of each set of equivalent atoms:
Nd  0.0000  0.5000  0.2378 [2 per cell]  8 Si 3.21-3.22, 6 Ir 3.22-3.41, 2 Mg 3.41
Mg  0.0000  0.0000  0.5000 [1 per cell]  4 Si 2.58
Si  0.0000  0.0000  0.0000 [1 per cell]  4 Ir 2.43
Si  0.0000  0.5000  0.6457 [2 per cell]  3 Ir 2.40-2.58, 2 Mg 2.58
Si  0.5000  0.5000  0.0000 [1 per cell]  4 Ir 2.43
Ir  0.0000  0.5000  0.8808 [2 per cell]  5 Si 2.40-2.43
Ir  0.5000  0.5000  0.5000 [1 per cell]  4 Si 2.58

## Properties
For the formation energy without anion corrections, the calculation gives -862 meV per atom. The calculation puts the uncorrected energy at -6.80 eV/atom.

# 4
A relaxed structure of NdMgSi2Ir2. Source: Alexandria, functional PBE-GGA.

Lattice parameters (Å, degrees): 4.2454 4.2454 6.9138 90.00 90.00 120.00
Closest atoms and distances in Å follow each position.
Space group P-3m1 (No. 164)
One atom of each set of equivalent atoms:
Nd  0.0000  0.0000  0.0000 [1 per cell]  6 Si 3.24, 6 Ir 3.25, 2 Mg 3.46
Mg  0.0000  0.0000  0.5000 [1 per cell]  6 Ir 2.79, 6 Si 2.79
Si  0.3333  0.6667  0.6935 [2 per cell]  4 Ir 2.45-2.67
Ir  0.3333  0.6667  0.3079 [2 per cell]  4 Si 2.45-2.67

## Properties
For the formation energy without anion corrections, the calculation gives -764 meV per atom. The calculation puts the uncorrected energy at -6.59 eV/atom.

uncorrected energy of number 1 (NdMgNiIr)?
-5.54 eV/atom

Number 4 is which compound?
NdMgSi2Ir2

Repeat the third record exactly.
A relaxed structure of Nd2MgSi4Ir3. Source: Alexandria, functional PBE-GGA.

Lattice parameters (Å, degrees): 4.2164 4.2164 10.2096 90.00 90.00 90.00
Closest atoms and distances in Å follow each position.
Space group P-4m2 (No. 115)
One atom of each set of equivalent atoms:
Nd  0.0000  0.5000  0.2378 [2 per cell]  8 Si 3.21-3.22, 6 Ir 3.22-3.41, 2 Mg 3.41
Mg  0.0000  0.0000  0.5000 [1 per cell]  4 Si 2.58
Si  0.0000  0.0000  0.0000 [1 per cell]  4 Ir 2.43
Si  0.0000  0.5000  0.6457 [2 per cell]  3 Ir 2.40-2.58, 2 Mg 2.58
Si  0.5000  0.5000  0.0000 [1 per cell]  4 Ir 2.43
Ir  0.0000  0.5000  0.8808 [2 per cell]  5 Si 2.40-2.43
Ir  0.5000  0.5000  0.5000 [1 per cell]  4 Si 2.58

## Properties
For the formation energy without anion corrections, the calculation gives -862 meV per atom. The calculation puts the uncorrected energy at -6.80 eV/atom.

What is the formula in the third record?
Nd2MgSi4Ir3